Entry 1:
The following is a PBE calculation of a relaxed structure of KScPdCl6, from Alexandria via LeMat-Bulk.

Lattice parameters (Å, degrees): 6.5627 6.5627 7.0258 90.00 90.00 120.00
With the nearest neighbours (Å) after each atom.
Space group P312 (No. 149)
Asymmetric unit:
K1 0.0000 0.0000 0.0000 [1 per cell]  6 Cl 3.19
Sc1 0.3333 0.6667 0.5000 [1 per cell]  6 Cl 2.51
Pd1 0.6667 0.3333 0.5000 [1 per cell]  6 Cl 2.55
Cl1 0.0048 0.3713 0.2950 [6 per cell]  1 Sc 2.51, 1 Pd 2.55

Results
V = 29.117 Å³/atom
E_form (uncorrected) = -1492 meV/atom
magnetization = 2.000 μB per formula unit

---

Entry 2:
The following is a PBE calculation of a relaxed structure of DyBeZnPt2, from Alexandria via LeMat-Bulk.

Lattice parameters (Å, degrees): 3.7747 3.7747 12.1353 90.00 90.00 90.00
With the nearest neighbours (Å) after each atom.
Space group I-4m2 (No. 119)
Asymmetric unit:
Dy1 0.0000 0.0000 0.0000 [2 per cell]  8 Pt 3.01
Be1 0.0000 0.5000 0.7500 [2 per cell]  4 Pt 2.51, 4 Zn 2.67
Zn1 0.0000 0.5000 0.2500 [2 per cell]  4 Pt 2.51, 4 Be 2.67
Pt1 0.0000 0.0000 0.3860 [4 per cell]  2 Be 2.51, 2 Zn 2.51, 1 Pt 2.77

Results
V = 17.290 Å³/atom
calculated formation energy = -766 meV/atom
magnetization = 0.000 μB per formula unit
DOS at the Fermi energy = 2.4 states/eV/f.u.

---

Entry 3:
The following is a PBE calculation of a relaxed structure of SnHOs3, from Alexandria via LeMat-Bulk.

Lattice parameters (Å, degrees): 4.9361 4.9361 4.9361 90.00 90.00 90.00
With the nearest neighbours (Å) after each atom.
Space group Pm-3m (No. 221)
Asymmetric unit:
Sn1 0.0000 0.0000 0.0000 [1 per cell]  6 Os 2.47
H1 0.5000 0.5000 0.5000 [1 per cell]  12 Os 3.49
Os1 0.0000 0.0000 0.5000 [3 per cell]  2 Sn 2.47

Results
V = 24.053 Å³/atom
E = -24.163 eV per cell
magnetization = 4.859 μB per formula unit
DOS at the Fermi energy = 6.2 states/eV/f.u.